# 1
14
Lattice="6.293 0.000 2.022 2.822 5.625 2.022 -0.055 -0.034 10.972" Properties=species:S:1:pos:R:3 comment="Dy3NiCl3 PBE-GGA relaxed" raw_formation_energy_kj_per_mol_atoms=-134.2 pbc="T T T"
Cl 5.180 0.585 9.214
Dy 2.277 3.960 10.819
Dy 2.577 0.260 10.182
Cl 4.154 1.224 5.141
Dy 6.783 1.632 4.198
Cl 4.906 4.368 9.876
Cl 3.880 5.006 5.803
Cl 7.188 3.165 6.501
Dy 5.527 2.186 11.512
Dy 6.483 5.331 4.836
Cl 1.872 2.427 8.516
Ni 2.984 1.841 12.320
Dy 3.533 3.405 3.506
Ni 6.076 3.750 2.697

# 2
4
Lattice="3.887 0.000 0.000 1.944 3.367 0.000 1.944 1.122 7.395" Properties=species:S:1:pos:R:3 comment="Dy2NiCl PBE-GGA relaxed" raw_formation_energy_kj_per_mol_atoms=-86.8 pbc="T T T"
Cl 3.887 2.244 3.756
Dy 1.944 1.122 1.421
Ni 5.831 3.367 7.378
Dy 1.944 1.122 5.932

| no. | density of states at the Fermi level (states/eV/cell) |
| --- | --- |
| 1 | 6.19 |
| 2 | 2.90 |